This record from the Alexandria database describes a geometry-optimized LaAl2ReO8 structure. The functional is PBE-GGA.

Output
calculated volume	12.5	Å³ per atom
magnetic moment	0.000	μB per atom
VASP energy	-93.89	eV/cell
space group	C2/m
formation energy without anion corrections	-2.45	eV per atom

Cell and atoms, written as POSCAR:
```
LaAl2ReO8
1.0
-1.6382 -4.2031 1.5938
-0.8137 -2.2567 -4.1384
5.7840 -3.5575 -0.3766
La Al Re O
1 2 1 8
Direct
0.0000 0.0000 0.5000
0.4525 0.4523 0.7109
0.5475 0.5477 0.2891
0.0000 0.0000 0.0000
0.2226 0.7874 0.2029
0.7454 0.7466 0.0693
0.7883 0.2235 0.2027
0.7774 0.2126 0.7971
0.2546 0.2534 0.9307
0.2117 0.7765 0.7973
0.6658 0.6666 0.5020
0.3342 0.3334 0.4980
```